A plane-wave DFT calculation with PBE was carried out for NpCrCuS4 after structural relaxation.

Calculated values
Raw formation energy in eV per atom: -0.84
VASP energy in eV per atom: -7.01

Geometry as CIF:
```
data_NpCrCuS4
_symmetry_space_group_name_H-M 'I m m a'
_symmetry_Int_Tables_number 74
_symmetry_space_group_name_Hall '-I 2b 2'
_cell_length_a 7.312
_cell_length_b 7.593
_cell_length_c 10.061
_cell_angle_alpha 90.00
_cell_angle_beta 90.00
_cell_angle_gamma 90.00
loop_
_atom_site_label
_atom_site_fract_x
_atom_site_fract_y
_atom_site_fract_z
Np1 0.000 0.000 0.000
Cr1 0.250 0.250 0.250
Cu1 0.000 0.250 0.637
S1 0.000 0.031 0.261
S2 0.246 0.250 0.492
```